(1)
PmPa, relaxed, DFT PBE-GGA; formation energy = 2.318 eV per formula unit; raw total energy = -5.962 eV per atom; total magnetic moment = 0.0 μB/f.u.
1.0
2.492 -2.185 -2.797
0.305 -4.317 0.282
-1.827 -2.505 -3.032
Pa Pm
1 1
Cartesian
0.000 0.000 0.000
0.485 -4.504 -2.774

***

(2)
PmPa, relaxed, DFT PBE-GGA; formation energy = 3.984 eV per formula unit; raw total energy = -5.128 eV per atom; total magnetic moment = 1.1 μB/f.u.
1.0
-0.562 -3.680 2.576
-4.156 -1.637 0.732
-1.256 -3.917 -1.891
Pa Pm
1 1
Cartesian
0.000 0.000 0.000
-1.493 -2.308 0.355

***

(3)
PmPaPt, relaxed, DFT PBE-GGA; formation energy = -0.886 eV per formula unit; raw total energy = -7.061 eV per atom; total magnetic moment = 0.9 μB/f.u.
1.0
3.943 -0.965 2.762
-0.527 -0.932 4.791
0.745 -4.540 1.714
Pa Pm Pt
1 1 1
Cartesian
1.040 -1.609 2.317
3.120 -4.828 6.950
0.000 0.000 0.000

***

(4)
PmPuPa, relaxed, DFT PBE-GGA; formation energy = 2.518 eV per formula unit; raw total energy = -8.616 eV per atom; total magnetic moment = 7.7 μB/f.u.
1.0
0.000 3.383 3.383
3.383 0.000 3.383
3.383 3.383 0.000
Pa Pm Pu
1 1 1
Cartesian
5.074 5.074 5.074
1.691 1.691 1.691
0.000 0.000 0.000

***

(5)
PmPaSb, relaxed, DFT PBE-GGA; raw total energy = -5.618 eV per atom; total magnetic moment = 3.7 μB/f.u.
1.0
4.624 -2.226 1.007
3.143 2.036 3.652
0.754 -2.537 4.511
Pa Pm Sb
1 1 1
Cartesian
0.000 0.000 0.000
2.130 -0.682 2.293
6.391 -2.046 6.878

***

(6)
PmScPa, relaxed, DFT PBE-GGA; formation energy = 2.968 eV per formula unit; raw total energy = -5.867 eV per atom; total magnetic moment = 2.1 μB/f.u.
1.0
0.000 3.618 3.618
3.618 0.000 3.618
3.618 3.618 0.000
Pa Pm Sc
1 1 1
Cartesian
1.809 1.809 1.809
5.426 5.426 5.426
0.000 0.000 0.000

***

(7)
Pm2Pa2Se7, relaxed, DFT PBE-GGA; raw total energy = -6.405 eV per atom; total magnetic moment = 1.9 μB/f.u.
1.0
8.508 0.523 -2.850
-1.781 1.002 8.753
1.480 -4.864 -7.412
Pa Pm Se
2 2 7
Cartesian
1.123 0.255 0.986
6.462 -1.838 -3.843
5.151 -0.408 -0.018
1.867 -3.201 -2.535
3.278 0.743 2.876
-1.432 0.376 7.028
3.960 -1.213 -2.605
-0.018 -1.021 3.322
2.644 -2.178 0.587
7.565 -2.780 -6.309
6.424 -3.039 -1.043

***

(8)
PmPaSn, relaxed, DFT PBE-GGA; raw total energy = -5.904 eV per atom; total magnetic moment = 1.8 μB/f.u.
1.0
0.146 -1.957 4.794
-3.564 1.412 3.484
-3.613 -3.384 1.527
Pa Pm Sn
1 1 1
Cartesian
-1.758 -0.982 2.451
-5.273 -2.946 7.354
0.000 0.000 0.000

***

Number 1: V 28.84 A^3/atom. Number 2: V 32.80 A^3/atom. Number 3: V 27.90 A^3/atom. Number 4: V 25.80 A^3/atom. Number 5: V 33.73 A^3/atom. Number 6: V 31.56 A^3/atom. Number 7: V 25.31 A^3/atom. Number 8: V 32.76 A^3/atom.